(1)
# RbTl2ZnAu2 (GGA-PBE, relaxed)
# Energy relative to the elements: -0.12 eV per atom
# Raw total energy: -2.378 eV/atom
# Size of the total moment: 0.0 μB per formula unit
# N(E_F): 4.35 states/eV/cell
data_RbTl2ZnAu2
_symmetry_space_group_name_H-M 'P m c 21'
_symmetry_Int_Tables_number 26
_symmetry_space_group_name_Hall 'P 2c -2'
_cell_length_a 4.7025
_cell_length_b 7.6702
_cell_length_c 9.6532
_cell_angle_alpha 90.00
_cell_angle_beta 90.00
_cell_angle_gamma 90.00
loop_
_atom_site_label
_atom_site_type_symbol
_atom_site_fract_x
_atom_site_fract_y
_atom_site_fract_z
Rb1 Rb 0.0000 0.0802 0.0000
Tl1 Tl 0.0000 0.3620 0.6460
Tl2 Tl 0.5000 0.4595 0.9329
Zn1 Zn 0.5000 0.1894 0.2769
Au1 Au 0.0000 0.3268 0.3264
Au2 Au 0.5000 0.1445 0.7311

=====

(2)
# ZrUHgO6 (GGA-PBE, relaxed)
# Formation energy (no corrections): -2.27 eV per atom
# Raw total energy: -7.813 eV/atom
# Size of the total moment: 0.0 μB per formula unit
# N(E_F): 23.36 states/eV/cell
data_ZrUHgO6
_symmetry_space_group_name_H-M 'I m m a'
_symmetry_Int_Tables_number 74
_symmetry_space_group_name_Hall '-I 2b 2'
_cell_length_a 7.9205
_cell_length_b 7.9678
_cell_length_c 11.0499
_cell_angle_alpha 90.00
_cell_angle_beta 90.00
_cell_angle_gamma 90.00
loop_
_atom_site_label
_atom_site_type_symbol
_atom_site_fract_x
_atom_site_fract_y
_atom_site_fract_z
Zr1 Zr 0.2500 0.2500 0.2500
U1 U 0.0000 0.0000 0.0000
Hg1 Hg 0.0000 0.2500 0.5190
O1 O 0.0000 0.2500 0.3252
O2 O 0.0000 0.2500 0.9368
O3 O 0.1843 0.0677 0.1213